Material: Sc2TaOs
Method: DFT, GGA-PBE
State: optimized geometry

a = 3.006 Å, b = 4.523 Å, c = 5.587 Å
α = 90.00°, β = 105.33°, γ = 90.00°
Space group P2/m (No. 10)
Symmetry-distinct sites (fractional):
Sc (0.181, 0.000, 0.263) (multiplicity 2)
Ta (0.500, 0.500, 0.000) (multiplicity 1)
Os (0.000, 0.500, 0.500) (multiplicity 1)

=====

Material: Sc2TaOs
Method: DFT, GGA-PBE
State: optimized geometry

a = 3.922 Å, b = 3.922 Å, c = 9.519 Å
α = 90.00°, β = 90.00°, γ = 90.00°
Space group I4/mmm (No. 139)
Symmetry-distinct sites (fractional):
Sc (0.000, 0.500, 0.250) (multiplicity 4)
Ta (0.000, 0.000, 0.000) (multiplicity 2)
Os (0.000, 0.000, 0.500) (multiplicity 2)

=====

Material: ScTaOs2
Method: DFT, GGA-PBE
State: optimized geometry

a = 2.849 Å, b = 4.337 Å, c = 5.373 Å
α = 90.00°, β = 98.06°, γ = 90.00°
Space group P2/m (No. 10)
Symmetry-distinct sites (fractional):
Sc (0.000, 0.000, 0.000) (multiplicity 1)
Ta (0.500, 0.000, 0.500) (multiplicity 1)
Os (0.281, 0.500, 0.742) (multiplicity 2)

=====

Material: ScTaOs2
Method: DFT, GGA-PBE
State: optimized geometry

a = 3.196 Å, b = 4.423 Å, c = 9.291 Å
α = 90.00°, β = 90.00°, γ = 90.00°
Space group Imm2 (No. 44)
Symmetry-distinct sites (fractional):
Sc (0.000, 0.000, 0.000) (multiplicity 2)
Ta (0.000, 0.500, 0.762) (multiplicity 2)
Os (0.000, 0.000, 0.499) (multiplicity 2)
Os (0.000, 0.500, 0.251) (multiplicity 2)

=====

Material: ScTaOs2
Method: DFT, GGA-PBE
State: optimized geometry

a = 2.8909 Å, b = 2.8909 Å, c = 27.9914 Å
α = 90.00°, β = 90.00°, γ = 120.00°
Space group R3m (No. 160, hexagonal axes)
Symmetry-distinct sites (fractional):
Sc (0.0000, 0.0000, 0.0000) (multiplicity 3)
Ta (0.0000, 0.0000, 0.2412) (multiplicity 3)
Os (0.0000, 0.0000, 0.4913) (multiplicity 3)
Os (0.0000, 0.0000, 0.7512) (multiplicity 3)

=====

Material: ScTa2Os2
Method: DFT, GGA-PBE
State: optimized geometry

a = 7.644 Å, b = 7.644 Å, c = 3.066 Å
α = 90.00°, β = 90.00°, γ = 90.00°
Space group P4/mbm (No. 127)
Symmetry-distinct sites (fractional):
Sc (0.000, 0.000, 0.000) (multiplicity 2)
Ta (0.155, 0.345, 0.500) (multiplicity 4)
Os (0.141, 0.641, 0.000) (multiplicity 4)

=====

| no. | DFT total energy (eV/atom) | energy of formation (meV per atom) | distance to the lowest polymorph of the same formula (meV/atom) |
| --- | --- | --- | --- |
| 1 | -8.973 | -36 | 190 |
| 2 | -8.925 | 12 | 238 |
| 3 | -10.265 | -104 | 428 |
| 4 | -10.395 | -234 | 297 |
| 5 | -9.952 | 209 | 740 |
| 6 | -10.657 | -158 | 225 |